Here is BaReB2 at its PBEsol-relaxed geometry from the Alexandria database. Energies are from meta-GGA SCAN.

```
BaReB2
1.0
-2.703 2.703 5.912
2.703 -2.703 5.912
2.703 2.703 -5.912
Ba Re B
2 2 4
Cartesian
2.703 1.351 1.478
0.000 1.351 4.434
2.703 -1.351 4.434
0.000 4.054 1.478
0.000 0.000 0.000
1.351 1.351 -2.956
1.351 -1.351 2.956
0.000 2.703 0.000
```

Calculated values
DOS at the Fermi energy, states/eV/f.u.: 2.18
VASP energy, eV/atom: -31.14
Energy relative to the elements, eV/atom: 0.24

***

Here is LaRhBr4 at its PBEsol-relaxed geometry from the Alexandria database. Energies are from meta-GGA SCAN.

```
LaRhBr4
1.0
0.000 4.228 4.228
4.228 0.000 4.228
4.228 4.228 0.000
La Rh Br
1 1 4
Cartesian
0.000 0.000 0.000
2.114 2.114 2.114
5.283 3.174 3.174
3.174 5.283 3.174
3.174 3.174 5.283
5.283 5.283 5.283
```

Calculated values
DOS at the Fermi energy, states/eV/f.u.: 8.98
VASP energy, eV/atom: -25.64
E_form (uncorrected), eV per atom: 0.15

***

Here is CrOsO2 at its PBEsol-relaxed geometry from the Alexandria database. Energies are from meta-GGA SCAN.

```
CrOsO2
1.0
1.400 0.808 6.521
-1.400 0.808 6.521
0.000 -1.616 6.521
Cr Os O
1 1 2
Cartesian
0.000 0.000 0.000
0.000 0.000 9.782
0.000 0.000 1.930
0.000 0.000 17.634
```

Calculated values
DOS at the Fermi energy, states/eV/f.u.: 1.97
VASP energy, eV/atom: -26.15
E_form (uncorrected), eV per atom: -0.47

***

Here is Ca7NbSi2N9 at its PBEsol-relaxed geometry from the Alexandria database. Energies are from meta-GGA SCAN.

```
Ca7NbSi2N9
1.0
5.997 0.000 0.000
0.000 9.845 0.000
-0.329 0.000 8.924
Ca Nb Si N
14 2 4 18
Cartesian
0.352 0.550 1.488
0.352 4.372 1.488
1.347 5.695 4.422
1.347 9.073 4.422
2.211 7.384 7.159
2.311 0.771 7.414
2.311 4.152 7.414
3.357 5.693 1.510
3.357 9.074 1.510
3.457 2.461 1.764
4.321 0.772 4.502
4.321 4.150 4.502
5.316 5.473 7.436
5.316 9.295 7.436
1.177 2.461 3.918
4.491 7.384 5.006
0.005 2.461 6.447
1.037 7.384 0.542
4.631 2.461 8.382
5.663 7.384 2.477
0.139 7.384 5.963
0.429 2.461 8.185
0.593 1.067 5.624
0.593 3.855 5.624
1.448 7.384 2.311
1.286 5.901 8.752
1.286 8.866 8.752
2.199 0.957 3.050
2.199 3.965 3.050
3.469 5.880 5.874
3.469 8.888 5.874
4.382 0.979 0.172
4.382 3.944 0.172
4.220 2.461 6.612
5.075 5.990 3.299
5.075 8.778 3.299
5.239 7.384 0.738
5.529 2.461 2.960
```

Calculated values
DOS at the Fermi energy, states/eV/f.u.: 0.00
VASP energy, eV/atom: -12.17
E_form (uncorrected), eV per atom: -1.41

***

Here is SrMn2Se at its PBEsol-relaxed geometry from the Alexandria database. Energies are from meta-GGA SCAN.

```
SrMn2Se
1.0
3.463 0.000 0.000
0.000 3.463 0.000
0.000 0.000 6.850
Sr Mn Se
1 2 1
Cartesian
0.000 0.000 0.000
0.000 0.000 3.512
1.732 1.732 2.251
1.732 1.732 4.764
```

Calculated values
DOS at the Fermi energy, states/eV/f.u.: 2.26
VASP energy, eV/atom: -20.12
E_form (uncorrected), eV per atom: -0.40

***

Here is TiMoSe2N at its PBEsol-relaxed geometry from the Alexandria database. Energies are from meta-GGA SCAN.

```
TiMoSe2N
1.0
4.993 0.000 0.000
0.000 4.993 0.000
0.000 0.000 3.717
Ti Mo Se N
1 1 2 1
Cartesian
0.000 0.000 0.000
2.496 2.496 1.859
0.000 2.496 1.859
2.496 0.000 1.859
2.496 2.496 0.000
```

Calculated values
DOS at the Fermi energy, states/eV/f.u.: 2.79
VASP energy, eV/atom: -20.12
E_form (uncorrected), eV per atom: -0.05

***

Here is Ir2RuW at its PBEsol-relaxed geometry from the Alexandria database. Energies are from meta-GGA SCAN.

```
Ir2RuW
1.0
2.735 0.000 0.000
0.000 4.346 0.000
0.000 0.000 4.770
Ir Ru W
2 1 1
Cartesian
0.000 0.000 0.000
0.000 2.173 1.601
1.367 2.173 4.030
1.367 0.000 2.454
```

Calculated values
DOS at the Fermi energy, states/eV/f.u.: 2.13
Relative energy among the computed polymorphs, meV/atom: 23.4
VASP energy, eV/atom: -61.99
Energy relative to the elements, eV/atom: -0.32

***

Here is CrTe3 at its PBEsol-relaxed geometry from the Alexandria database. Energies are from meta-GGA SCAN.

```
CrTe3
1.0
3.371 0.000 0.000
-1.686 2.919 0.000
0.000 0.000 9.763
Cr Te
1 3
Cartesian
0.000 0.000 0.000
0.000 0.000 4.881
0.000 1.946 1.711
0.000 1.946 8.052
```

Calculated values
DOS at the Fermi energy, states/eV/f.u.: 2.57
VASP energy, eV/atom: -32.41
E_form (uncorrected), eV per atom: 0.12

***

Here is Er3Al12Ru4 at its PBEsol-relaxed geometry from the Alexandria database. Energies are from meta-GGA SCAN.

```
Er3Al12Ru4
1.0
8.699 0.000 0.000
-4.350 7.534 0.000
0.000 0.000 9.466
Er Al Ru
6 24 8
Cartesian
0.000 2.918 2.367
-1.823 6.075 2.367
2.527 1.459 7.100
1.823 6.075 2.367
6.173 1.459 7.100
4.350 4.616 7.100
0.000 0.000 2.367
0.000 0.000 7.100
-1.382 4.225 7.100
0.000 2.448 5.463
0.000 2.448 8.736
-2.230 6.310 5.463
-2.230 6.310 8.736
2.120 1.224 0.730
2.120 1.224 4.003
0.000 5.023 0.167
0.000 5.023 4.566
1.382 4.225 7.100
0.000 6.619 7.100
4.350 0.915 2.367
2.968 3.309 2.367
4.350 2.511 4.901
4.350 2.511 9.299
2.230 6.310 5.463
2.230 6.310 8.736
6.580 1.224 0.730
6.580 1.224 4.003
4.350 5.086 0.730
4.350 5.086 4.003
5.732 3.309 2.367
0.000 0.000 0.000
0.000 0.000 4.733
-2.175 3.767 0.000
-2.175 3.767 4.733
4.350 0.000 0.000
4.350 0.000 4.733
2.175 3.767 0.000
2.175 3.767 4.733
```

Calculated values
DOS at the Fermi energy, states/eV/f.u.: 9.02
VASP energy, eV/atom: -20.94
Energy relative to the elements, eV/atom: -0.77

***

Here is KNa2P3O9 at its PBEsol-relaxed geometry from the Alexandria database. Energies are from meta-GGA SCAN.

```
KNa2P3O9
1.0
6.758 0.000 0.000
1.715 6.668 0.000
3.242 -0.253 8.935
K Na P O
2 4 6 18
Cartesian
2.351 3.054 1.451
9.364 3.361 7.484
5.832 5.951 7.432
3.876 1.319 4.359
7.839 5.095 4.576
5.883 0.464 1.503
4.426 4.833 4.241
4.239 6.338 1.741
5.729 2.362 6.989
5.986 4.052 1.946
7.476 0.076 7.194
7.289 1.581 4.694
3.381 4.153 5.056
3.631 5.725 3.134
1.369 0.023 0.873
4.529 1.557 6.600
5.553 3.608 7.787
5.508 5.631 4.897
3.579 0.681 2.068
5.082 3.692 3.261
4.922 4.983 1.129
6.793 1.431 7.806
6.633 2.722 5.674
8.136 5.733 6.867
6.207 0.783 4.038
6.162 2.806 1.148
7.186 4.857 2.335
10.346 6.391 8.062
8.084 0.689 5.800
8.334 2.261 3.879
```

Calculated values
DOS at the Fermi energy, states/eV/f.u.: 0.00
VASP energy, eV/atom: -9.42
E_form (uncorrected), eV per atom: -2.48

***

Here is TlCuSb2 at its PBEsol-relaxed geometry from the Alexandria database. Energies are from meta-GGA SCAN.

```
TlCuSb2
1.0
5.115 0.000 0.000
0.000 4.063 0.000
-2.159 0.000 4.781
Tl Cu Sb
1 1 2
Cartesian
0.000 0.000 0.000
1.478 0.000 2.390
0.139 2.032 3.283
2.817 2.032 1.498
```

Calculated values
DOS at the Fermi energy, states/eV/f.u.: 1.67
Relative energy among the computed polymorphs, meV/atom: 0.0
VASP energy, eV/atom: -40.47
E_form (uncorrected), eV per atom: 0.05

***

Here is SrTaIn3 at its PBEsol-relaxed geometry from the Alexandria database. Energies are from meta-GGA SCAN.

```
SrTaIn3
1.0
5.329 0.000 0.000
0.000 5.329 0.000
0.000 0.000 5.329
Sr Ta In
1 1 3
Cartesian
0.000 0.000 0.000
2.664 2.664 2.664
0.000 2.664 2.664
2.664 0.000 2.664
2.664 2.664 0.000
```

Calculated values
DOS at the Fermi energy, states/eV/f.u.: 0.96
VASP energy, eV/atom: -37.83
Energy relative to the elements, eV/atom: -0.03

***

Here is Cr3Co at its PBEsol-relaxed geometry from the Alexandria database. Energies are from meta-GGA SCAN.

```
Cr3Co
1.0
3.971 2.293 0.798
-3.971 2.293 0.798
0.000 -4.585 0.798
Cr Co
3 1
Cartesian
-1.986 -1.146 0.798
-1.986 1.146 1.596
0.000 2.293 0.798
0.000 0.000 0.000
```

Calculated values
DOS at the Fermi energy, states/eV/f.u.: 2.85
VASP energy, eV/atom: -18.01
Energy relative to the elements, eV/atom: 0.11

***

Here is Ga2ReI at its PBEsol-relaxed geometry from the Alexandria database. Energies are from meta-GGA SCAN.

```
Ga2ReI
1.0
0.000 3.290 3.290
3.290 0.000 3.290
3.290 3.290 0.000
Ga Re I
2 1 1
Cartesian
1.645 1.645 1.645
4.936 4.936 4.936
0.000 0.000 0.000
3.290 3.290 3.290
```

Calculated values
DOS at the Fermi energy, states/eV/f.u.: 1.04
VASP energy, eV/atom: -33.85
E_form (uncorrected), eV per atom: 1.28

***

Here is GaPdOF2 at its PBEsol-relaxed geometry from the Alexandria database. Energies are from meta-GGA SCAN.

```
GaPdOF2
1.0
4.277 0.000 0.000
0.000 4.277 0.000
0.000 0.000 3.805
Ga Pd O F
1 1 1 2
Cartesian
0.000 0.000 0.000
2.138 2.138 1.903
2.138 2.138 0.000
0.000 2.138 1.903
2.138 0.000 1.903
```

Calculated values
DOS at the Fermi energy, states/eV/f.u.: 1.57
Relative energy among the computed polymorphs, meV/atom: 506.7
VASP energy, eV/atom: -13.43
E_form (uncorrected), eV per atom: -0.94

***

Here is Tl2Sb at its PBEsol-relaxed geometry from the Alexandria database. Energies are from meta-GGA SCAN.

```
Tl2Sb
1.0
-1.651 1.651 7.881
1.651 -1.651 7.881
1.651 1.651 -7.881
Tl Sb
2 1
Cartesian
0.000 0.000 2.510
0.000 0.000 13.252
0.000 0.000 7.881
```

Calculated values
DOS at the Fermi energy, states/eV/f.u.: 1.06
Relative energy among the computed polymorphs, meV/atom: 9.1
VASP energy, eV/atom: -60.65
E_form (uncorrected), eV per atom: 0.01

***

Here is AcOF at its PBEsol-relaxed geometry from the Alexandria database. Energies are from meta-GGA SCAN.

```
AcOF
1.0
0.000 2.948 2.948
2.948 0.000 2.948
2.948 2.948 0.000
Ac O F
1 1 1
Cartesian
0.000 0.000 0.000
4.422 4.422 4.422
1.474 1.474 1.474
```

Calculated values
DOS at the Fermi energy, states/eV/f.u.: 0.00
VASP energy, eV/atom: -37.52
E_form (uncorrected), eV per atom: -4.10

***

Here is MgSbPbI2 at its PBEsol-relaxed geometry from the Alexandria database. Energies are from meta-GGA SCAN.

```
MgSbPbI2
1.0
5.983 0.000 0.000
0.000 5.983 0.000
0.000 0.000 5.945
Mg Sb Pb I
1 1 1 2
Cartesian
0.000 0.000 0.000
2.991 2.991 0.000
2.991 2.991 2.972
0.000 2.991 2.972
2.991 0.000 2.972
```

Calculated values
DOS at the Fermi energy, states/eV/f.u.: 2.84
VASP energy, eV/atom: -38.02
E_form (uncorrected), eV per atom: 0.28

***

Here is LiAs2Pd2 at its PBEsol-relaxed geometry from the Alexandria database. Energies are from meta-GGA SCAN.

```
LiAs2Pd2
1.0
-2.109 2.109 5.018
2.109 -2.109 5.018
2.109 2.109 -5.018
Li As Pd
1 2 2
Cartesian
0.000 0.000 0.000
0.000 0.000 3.810
0.000 0.000 6.227
2.109 0.000 2.509
0.000 2.109 2.509
```

Calculated values
DOS at the Fermi energy, states/eV/f.u.: 2.18
VASP energy, eV/atom: -22.14
Energy relative to the elements, eV/atom: -0.48

***

Here is Li3CuF4 at its PBEsol-relaxed geometry from the Alexandria database. Energies are from meta-GGA SCAN.

```
Li3CuF4
1.0
2.809 0.000 0.000
-1.404 2.433 0.000
0.000 0.000 20.082
Li Cu F
6 2 8
Cartesian
0.000 0.000 0.000
0.000 0.000 10.041
0.000 1.622 2.319
0.000 1.622 7.722
1.404 0.811 12.359
1.404 0.811 17.763
0.000 1.622 15.061
1.404 0.811 5.020
0.000 0.000 3.440
0.000 0.000 6.601
0.000 0.000 13.481
0.000 0.000 16.641
0.000 1.622 11.198
0.000 1.622 18.925
1.404 0.811 1.157
1.404 0.811 8.884
```

Calculated values
VASP energy, eV/atom: -7.17
E_form (uncorrected), eV per atom: -2.60